Entry 1:
# Cu11Au3 (GGA-PBE, optimized geometry)
data_Cu11Au3
_chemical_formula_sum 'Cu22 Au6'
_cell_length_a 3.988
_cell_length_b 9.419
_cell_length_c 10.176
_cell_angle_alpha 90.00
_cell_angle_beta 90.00
_cell_angle_gamma 90.00
_symmetry_space_group_name_H-M 'I m m m'
_symmetry_Int_Tables_number 71
_symmetry_space_group_name_Hall '-I 2 2'
loop_
_atom_site_label
_atom_site_type_symbol
_atom_site_fract_x
_atom_site_fract_y
_atom_site_fract_z
_atom_site_occupancy
Cu1 Cu 0.000 0.000 0.000 1
Cu2 Cu 0.000 0.129 0.372 1
Cu3 Cu 0.000 0.219 0.146 1
Cu4 Cu 0.000 0.349 0.500 1
Au1 Au 0.000 0.500 0.000 1
Au2 Au 0.000 0.500 0.282 1
# ΔH_f (0 K) (eV/atom): 0.079
# E (eV/atom): -3.84
# Crystal system: orthorhombic

=====

Entry 2:
# Y7Ho2Tm3 (GGA-PBE, optimized geometry)
data_Y7Ho2Tm3
_chemical_formula_sum 'Y7 Ho2 Tm3'
_cell_length_a 6.196
_cell_length_b 5.475
_cell_length_c 11.970
_cell_angle_alpha 90.00
_cell_angle_beta 90.69
_cell_angle_gamma 90.00
_symmetry_space_group_name_H-M 'P 1 2/m 1'
_symmetry_Int_Tables_number 10
_symmetry_space_group_name_Hall '-P 2y'
loop_
_atom_site_label
_atom_site_type_symbol
_atom_site_fract_x
_atom_site_fract_y
_atom_site_fract_z
_atom_site_occupancy
Y1 Y 0.000 0.000 0.000 1
Y2 Y 0.088 0.500 0.170 1
Y3 Y 0.237 0.500 0.455 1
Y4 Y 0.441 0.000 0.180 1
Ho1 Ho 0.394 0.500 0.723 1
Tm1 Tm 0.056 0.000 0.658 1
Tm2 Tm 0.500 0.500 0.000 1
# ΔH_f (0 K) (eV/atom): 0.320
# E (eV/atom): -5.33
# Crystal system: monoclinic

=====

Entry 3:
# BaBeHg2 (GGA-PBE, optimized geometry)
data_BaBeHg2
_chemical_formula_sum 'Ba2 Be2 Hg4'
_cell_length_a 7.819
_cell_length_b 4.506
_cell_length_c 6.704
_cell_angle_alpha 90.00
_cell_angle_beta 112.68
_cell_angle_gamma 90.00
_symmetry_space_group_name_H-M 'C 1 2/m 1'
_symmetry_Int_Tables_number 12
_symmetry_space_group_name_Hall '-C 2y'
loop_
_atom_site_label
_atom_site_type_symbol
_atom_site_fract_x
_atom_site_fract_y
_atom_site_fract_z
_atom_site_occupancy
Ba1 Ba 0.000 0.000 0.000 1
Be1 Be 0.000 0.500 0.500 1
Hg1 Hg 0.206 0.000 0.620 1
# ΔH_f (0 K) (eV/atom): -0.038
# E (eV/atom): -1.60
# Crystal system: monoclinic

=====

Entry 4:
# AcDy2Y3 (GGA-PBE, optimized geometry)
data_AcDy2Y3
_chemical_formula_sum 'Ac4 Dy8 Y12'
_cell_length_a 23.333
_cell_length_b 3.591
_cell_length_c 10.507
_cell_angle_alpha 90.00
_cell_angle_beta 108.82
_cell_angle_gamma 90.00
_symmetry_space_group_name_H-M 'C 1 2/m 1'
_symmetry_Int_Tables_number 12
_symmetry_space_group_name_Hall '-C 2y'
loop_
_atom_site_label
_atom_site_type_symbol
_atom_site_fract_x
_atom_site_fract_y
_atom_site_fract_z
_atom_site_occupancy
Ac1 Ac 0.181 0.000 0.039 1
Dy1 Dy 0.066 0.500 0.147 1
Dy2 Dy 0.192 0.000 0.377 1
Y1 Y 0.060 0.000 0.444 1
Y2 Y 0.066 0.500 0.756 1
Y3 Y 0.195 0.000 0.711 1
# ΔH_f (0 K) (eV/atom): 0.141
# E (eV/atom): -5.31
# Crystal system: monoclinic